(1)
VASP calculation (PBE) on an optimized crystal structure of TaNiPb2.

a b c (Å): 4.3099 4.3099 8.8652
angles (deg): 90.00 90.00 90.00
Fractional positions:
Ta: 0.0000 0.0000 0.0000
Ta: 0.5000 0.5000 0.5000
Ni: 0.0000 0.0000 0.5000
Ni: 0.5000 0.5000 0.0000
Pb: 0.0000 0.5000 0.2500
Pb: 0.0000 0.5000 0.7500
Pb: 0.5000 0.0000 0.2500
Pb: 0.5000 0.0000 0.7500

Properties
Uncorrected energy   -44.255 eV for the cell shown
E above lowest polymorph   0.5676 eV per atom
E_form   731 meV per atom

=====

(2)
VASP calculation (PBE) on an optimized crystal structure of ScSiC.

a b c (Å): 10.1439 3.2919 6.4256
angles (deg): 90.00 128.59 90.00
Fractional positions:
Sc: 0.0000 0.0000 0.0000
Sc: 0.0715 0.5000 0.5278
Sc: 0.5000 0.5000 0.0000
Sc: 0.5715 0.0000 0.5278
Si: 0.2751 0.0000 0.9967
Si: 0.2751 0.5000 0.3246
Si: 0.7751 0.0000 0.3246
Si: 0.7751 0.5000 0.9967
C: 0.2024 0.0000 0.4468
C: 0.2962 0.0000 0.7263
C: 0.7024 0.5000 0.4468
C: 0.7962 0.5000 0.7263

Properties
Uncorrected energy   -85.951 eV for the cell shown
E above lowest polymorph   0.1974 eV per atom
Formation energy without anion corrections   -170 meV/atom